{
  "formula": "SrCa3P",
  "functional": "PBE-GGA",
  "state": "optimized geometry",
  "lattice_angstrom": [[-3.149, 3.948, -2.713], [2.067, -1.809, -5.032], [-4.321, -3.742, -0.430]],
  "species": ["Sr", "Ca", "Ca", "Ca", "P"],
  "frac_coords": [[0.500, 0.500, 0.500], [0.000, 0.500, 0.000], [0.000, 0.000, 0.500], [0.500, 0.000, 0.000], [0.000, 0.000, 0.000]],
  "magnetic_moment_mub_per_fu": 1.01,
  "total_energy_ev_per_atom": -3.0862,
  "e_form_ev_per_atom": -0.47,
  "spacegroup": "Pm-3m (221)",
  "polymorph_energy_mev_per_atom": 0.0
}


{
  "formula": "SrCa2P2",
  "functional": "PBE-GGA",
  "state": "optimized geometry",
  "lattice_angstrom": [[-1.108, 0.723, -4.530], [-1.743, -3.534, -2.596], [-6.917, 1.941, 2.002]],
  "species": ["Sr", "Ca", "Ca", "P", "P"],
  "frac_coords": [[0.500, 0.000, 0.000], [0.833, 0.333, 0.648], [0.167, 0.667, 0.352], [0.833, 0.333, 0.244], [0.167, 0.667, 0.756]],
  "magnetic_moment_mub_per_fu": 0.00,
  "total_energy_ev_per_atom": -4.4403,
  "e_form_ev_per_atom": -1.14,
  "spacegroup": "P-3m1 (164)",
  "polymorph_energy_mev_per_atom": 0.0
}


{
  "formula": "Sr3CaP",
  "functional": "PBE-GGA",
  "state": "optimized geometry",
  "lattice_angstrom": [[6.029, 0.000, 0.000], [0.000, 6.029, 0.000], [0.000, 0.000, 6.029]],
  "species": ["Sr", "Sr", "Sr", "Ca", "P"],
  "frac_coords": [[0.000, 0.500, 0.000], [0.000, 0.000, 0.500], [0.500, 0.000, 0.000], [0.500, 0.500, 0.500], [0.000, 0.000, 0.000]],
  "magnetic_moment_mub_per_fu": 1.12,
  "total_energy_ev_per_atom": -2.9462,
  "e_form_ev_per_atom": -0.45,
  "spacegroup": "Pm-3m (221)",
  "polymorph_energy_mev_per_atom": 0.0
}


{
  "formula": "Sr2CaP",
  "functional": "PBE-GGA",
  "state": "optimized geometry",
  "lattice_angstrom": [[6.399, 0.001, 0.000], [2.703, 5.800, 0.000], [-4.551, -2.900, 3.438]],
  "species": ["Ca", "P", "Sr", "Sr"],
  "frac_coords": [[0.250, 0.750, 0.500], [0.750, 0.250, 0.500], [0.000, 0.000, 0.000], [0.500, 0.500, 0.000]],
  "magnetic_moment_mub_per_fu": 0.00,
  "total_energy_ev_per_atom": -2.8504,
  "e_form_ev_per_atom": -0.16,
  "spacegroup": "I4/mmm (139)"
}


{
  "formula": "Sr2CaP",
  "functional": "PBE-GGA",
  "state": "optimized geometry",
  "lattice_angstrom": [[5.149, 0.000, 0.000], [0.000, 5.154, 0.000], [0.000, 0.000, 4.781]],
  "species": ["Ca", "P", "Sr", "Sr"],
  "frac_coords": [[0.500, 0.000, 0.500], [0.000, 0.500, 0.500], [0.000, 0.000, 0.000], [0.500, 0.500, 0.000]],
  "magnetic_moment_mub_per_fu": 0.00,
  "total_energy_ev_per_atom": -2.9405,
  "e_form_ev_per_atom": -0.25,
  "spacegroup": "P4/mmm (123)"
}


{
  "formula": "SrCaP4",
  "functional": "PBE-GGA",
  "state": "optimized geometry",
  "lattice_angstrom": [[0.000, 3.911, 3.911], [3.911, 0.000, 3.911], [3.911, 3.911, 0.000]],
  "species": ["Sr", "Ca", "P", "P", "P", "P"],
  "frac_coords": [[0.750, 0.750, 0.750], [0.000, 0.000, 0.000], [0.895, 0.368, 0.368], [0.368, 0.368, 0.895], [0.368, 0.895, 0.368], [0.368, 0.368, 0.368]],
  "magnetic_moment_mub_per_fu": 0.00,
  "total_energy_ev_per_atom": -4.4641,
  "e_form_ev_per_atom": -0.24,
  "spacegroup": "F-43m (216)"
}


{
  "formula": "Sr2CaP",
  "functional": "PBE-GGA",
  "state": "optimized geometry",
  "lattice_angstrom": [[-2.818, 1.864, 4.619], [-5.654, -0.781, 0.410], [-2.103, -3.751, 3.775]],
  "species": ["Ca", "P", "Sr", "Sr"],
  "frac_coords": [[0.500, 0.500, 0.500], [0.750, 0.750, 0.750], [0.000, 0.000, 0.000], [0.250, 0.250, 0.250]],
  "magnetic_moment_mub_per_fu": 0.00,
  "total_energy_ev_per_atom": -2.6474,
  "e_form_ev_per_atom": 0.05,
  "spacegroup": "F-43m (216)"
}


{
  "formula": "Sr2CaP",
  "functional": "PBE-GGA",
  "state": "optimized geometry",
  "lattice_angstrom": [[-3.462, -4.011, 4.722], [5.103, -5.333, -0.789], [6.702, 5.052, 9.204]],
  "species": ["Sr", "Sr", "Sr", "Sr", "Sr", "Sr", "Sr", "Sr", "Ca", "Ca", "Ca", "Ca", "P", "P", "P", "P"],
  "frac_coords": [[0.740, 0.914, 0.921], [0.260, 0.086, 0.079], [0.240, 0.586, 0.579], [0.760, 0.414, 0.421], [0.740, 0.414, 0.079], [0.260, 0.586, 0.921], [0.240, 0.086, 0.421], [0.760, 0.914, 0.579], [0.250, 0.597, 0.250], [0.750, 0.403, 0.750], [0.750, 0.903, 0.250], [0.250, 0.097, 0.750], [0.000, 0.250, 0.598], [0.000, 0.750, 0.402], [0.500, 0.250, 0.902], [0.500, 0.750, 0.098]],
  "magnetic_moment_mub_per_fu": 0.58,
  "total_energy_ev_per_atom": -3.3038,
  "e_form_ev_per_atom": -0.61,
  "spacegroup": "Pnna (52)"
}


{
  "formula": "Sr2Ca4P",
  "functional": "PBE-GGA",
  "state": "optimized geometry",
  "lattice_angstrom": [[-3.306, 3.319, -2.917], [-3.511, -4.185, -0.782], [-8.623, 2.264, 7.128]],
  "species": ["Sr", "Sr", "Ca", "Ca", "Ca", "Ca", "P"],
  "frac_coords": [[0.683, 0.683, 0.633], [0.317, 0.317, 0.367], [0.871, 0.871, 0.259], [0.129, 0.129, 0.741], [0.000, 0.500, 0.000], [0.500, 0.000, 0.000], [0.000, 0.000, 0.000]],
  "magnetic_moment_mub_per_fu": 0.00,
  "total_energy_ev_per_atom": -2.6246,
  "e_form_ev_per_atom": -0.23,
  "spacegroup": "I4/mmm (139)"
}


{
  "formula": "Sr2CaP",
  "functional": "PBE-GGA",
  "state": "optimized geometry",
  "lattice_angstrom": [[-7.084, -0.608, 3.043], [-5.274, -5.595, -0.834], [7.092, 2.377, 1.968]],
  "species": ["Ca", "P", "Sr", "Sr"],
  "frac_coords": [[0.411, 0.411, 0.000], [0.255, 0.755, 0.500], [0.081, 0.081, 0.000], [0.752, 0.252, 0.500]],
  "magnetic_moment_mub_per_fu": 0.00,
  "total_energy_ev_per_atom": -3.2348,
  "e_form_ev_per_atom": -0.54,
  "spacegroup": "Imm2 (44)"
}


{
  "formula": "Sr2CaP",
  "functional": "PBE-GGA",
  "state": "optimized geometry",
  "lattice_angstrom": [[-5.309, -2.296, -6.543], [-1.729, -6.891, -5.079], [1.183, 4.085, 7.628]],
  "species": ["Ca", "P", "Sr", "Sr"],
  "frac_coords": [[0.750, 0.250, 0.500], [0.250, 0.750, 0.500], [0.093, 0.093, 0.000], [0.407, 0.407, 0.000]],
  "magnetic_moment_mub_per_fu": 0.07,
  "total_energy_ev_per_atom": -3.2138,
  "e_form_ev_per_atom": -0.52,
  "spacegroup": "Immm (71)"
}


{
  "formula": "Sr2CaP",
  "functional": "PBE-GGA",
  "state": "optimized geometry",
  "lattice_angstrom": [[6.564, 0.003, 0.000], [3.048, 5.813, 0.000], [-4.806, -2.908, 3.395]],
  "species": ["Ca", "P", "Sr", "Sr"],
  "frac_coords": [[0.500, 0.500, 0.000], [0.750, 0.250, 0.500], [0.000, 0.000, 0.000], [0.250, 0.750, 0.500]],
  "magnetic_moment_mub_per_fu": 0.00,
  "total_energy_ev_per_atom": -2.8695,
  "e_form_ev_per_atom": -0.18,
  "spacegroup": "I-4m2 (119)"
}


{
  "formula": "Sr3Ca2P3",
  "functional": "PBE-GGA",
  "state": "optimized geometry",
  "lattice_angstrom": [[-5.279, -0.208, 4.323], [5.488, 0.276, 6.715], [2.415, 7.645, 3.318]],
  "species": ["Sr", "Sr", "Sr", "Sr", "Sr", "Sr", "Ca", "Ca", "Ca", "Ca", "P", "P", "P", "P", "P", "P"],
  "frac_coords": [[0.750, 0.000, 0.258], [0.750, 0.258, 0.742], [0.750, 0.742, 0.000], [0.250, 0.000, 0.742], [0.250, 0.742, 0.258], [0.250, 0.258, 0.000], [0.000, 0.333, 0.333], [0.500, 0.667, 0.667], [0.000, 0.667, 0.667], [0.500, 0.333, 0.333], [0.750, 0.000, 0.607], [0.750, 0.607, 0.393], [0.750, 0.393, 0.000], [0.250, 0.000, 0.393], [0.250, 0.393, 0.607], [0.250, 0.607, 0.000]],
  "magnetic_moment_mub_per_fu": 0.95,
  "total_energy_ev_per_atom": -4.1597,
  "e_form_ev_per_atom": -1.00,
  "spacegroup": "P6_3/mcm (193)"
}


{
  "formula": "Sr2CaP",
  "functional": "PBE-GGA",
  "state": "optimized geometry",
  "lattice_angstrom": [[11.047, 0.000, 0.000], [0.000, 11.047, 0.000], [5.523, 5.523, 2.811]],
  "species": ["Sr", "Sr", "Sr", "Sr", "Ca", "Ca", "P", "P"],
  "frac_coords": [[0.477, 0.125, 0.250], [0.273, 0.625, 0.250], [0.375, 0.523, 0.750], [0.875, 0.727, 0.750], [0.000, 0.000, 0.000], [0.750, 0.250, 0.500], [0.500, 0.500, 0.000], [0.250, 0.750, 0.500]],
  "magnetic_moment_mub_per_fu": 0.00,
  "total_energy_ev_per_atom": -3.1490,
  "e_form_ev_per_atom": -0.46,
  "spacegroup": "I-42d (122)"
}


{
  "formula": "Sr8CaP6",
  "functional": "PBE-GGA",
  "state": "optimized geometry",
  "lattice_angstrom": [[-6.186, 6.252, 0.287], [-5.130, 1.438, -7.003], [-8.270, -1.995, 0.120]],
  "species": ["Sr", "Sr", "Sr", "Sr", "Sr", "Sr", "Sr", "Sr", "Ca", "P", "P", "P", "P", "P", "P"],
  "frac_coords": [[0.561, 0.227, 0.318], [0.773, 0.106, 0.682], [0.106, 0.439, 0.682], [0.667, 0.667, 0.000], [0.333, 0.333, 0.000], [0.894, 0.561, 0.318], [0.227, 0.894, 0.318], [0.439, 0.773, 0.682], [0.000, 0.000, 0.000], [0.403, 0.073, 0.783], [0.927, 0.258, 0.217], [0.258, 0.597, 0.217], [0.742, 0.403, 0.783], [0.073, 0.742, 0.783], [0.597, 0.927, 0.217]],
  "magnetic_moment_mub_per_fu": 0.00,
  "total_energy_ev_per_atom": -4.2200,
  "e_form_ev_per_atom": -1.03,
  "spacegroup": "R-3 (148)"
}


{
  "formula": "Sr2CaP",
  "functional": "PBE-GGA",
  "state": "optimized geometry",
  "lattice_angstrom": [[-3.605, 0.202, -1.222], [-1.219, -0.046, 3.611], [0.464, 10.020, 0.285]],
  "species": ["Ca", "P", "Sr", "Sr"],
  "frac_coords": [[0.000, 0.000, 0.597], [0.500, 0.500, 0.733], [0.000, 0.000, 0.904], [0.500, 0.500, 0.266]],
  "magnetic_moment_mub_per_fu": 0.35,
  "total_energy_ev_per_atom": -3.1757,
  "e_form_ev_per_atom": -0.48,
  "spacegroup": "Cmm2 (35)"
}


{
  "formula": "Sr2CaUP4",
  "functional": "PBE-GGA",
  "state": "optimized geometry",
  "lattice_angstrom": [[4.211, 0.000, 0.000], [0.000, 7.145, 0.120], [0.000, -2.499, 6.841]],
  "species": ["Sr", "Sr", "Ca", "U", "P", "P", "P", "P"],
  "frac_coords": [[0.500, 0.000, 0.500], [0.000, 0.500, 0.500], [0.500, 0.500, 0.000], [0.000, 0.000, 0.000], [0.500, 0.216, 0.209], [0.500, 0.784, 0.791], [0.000, 0.232, 0.784], [0.000, 0.768, 0.216]],
  "magnetic_moment_mub_per_fu": 0.12,
  "total_energy_ev_per_atom": -5.8261,
  "e_form_ev_per_atom": -1.04,
  "spacegroup": "P2/m (10)"
}


{
  "formula": "SrCaP2W",
  "functional": "PBE-GGA",
  "state": "optimized geometry",
  "lattice_angstrom": [[-3.960, 3.095, -2.080], [-3.813, -3.935, 1.406], [-0.678, 2.386, 4.841]],
  "species": ["Sr", "Ca", "W", "P", "P"],
  "frac_coords": [[0.000, 0.000, 0.000], [0.500, 0.500, 0.500], [0.000, 0.500, 0.000], [0.000, 0.000, 0.500], [0.500, 0.000, 0.000]],
  "magnetic_moment_mub_per_fu": 4.27,
  "total_energy_ev_per_atom": -3.8974,
  "e_form_ev_per_atom": 1.59,
  "spacegroup": "P4/mmm (123)"
}


{
  "formula": "SrCaYP2",
  "functional": "PBE-GGA",
  "state": "optimized geometry",
  "lattice_angstrom": [[5.463, 0.000, 0.000], [0.000, 5.280, 0.000], [0.000, 0.000, 5.463]],
  "species": ["Y", "Sr", "Ca", "P", "P"],
  "frac_coords": [[0.500, 0.500, 0.500], [0.000, 0.000, 0.000], [0.000, 0.500, 0.000], [0.000, 0.000, 0.500], [0.500, 0.000, 0.000]],
  "magnetic_moment_mub_per_fu": 0.69,
  "total_energy_ev_per_atom": -3.5336,
  "e_form_ev_per_atom": 0.66,
  "spacegroup": "P4/mmm (123)"
}


{
  "formula": "Sr2CaZrP",
  "functional": "PBE-GGA",
  "state": "optimized geometry",
  "lattice_angstrom": [[6.383, 0.000, 0.000], [0.000, 5.001, 0.000], [0.000, 0.000, 6.383]],
  "species": ["Sr", "Sr", "Ca", "Zr", "P"],
  "frac_coords": [[0.000, 0.000, 0.500], [0.500, 0.000, 0.000], [0.500, 0.500, 0.500], [0.000, 0.000, 0.000], [0.000, 0.500, 0.000]],
  "magnetic_moment_mub_per_fu": 0.00,
  "total_energy_ev_per_atom": -3.5835,
  "e_form_ev_per_atom": 0.28,
  "spacegroup": "P4/mmm (123)"
}